First-principles (PBE) data for crystalline LiDyTl at its relaxed geometry, as listed in Alexandria via LeMat-Bulk.

The structure belongs to space group P-6m2 (No. 187); the cell edges are 4.9119, 4.9119 and 3.4516 Å and the angles 90.00°, 90.00° and 120.00°. Symmetry generates all atoms from Li at (0.0000, 0.0000, 0.0000), Dy at (0.3333, 0.6667, 0.5000) and Tl at (0.6667, 0.3333, 0.0000).

The value obtained for the formation energy is -0.80 eV per formula unit. The value obtained for the total energy is -3.227 eV/atom. The calculation puts the volume at 24.04 A^3/atom.